Record 1
Material: Ba2CdAg2
Method: DFT, PBE
State: relaxed

Lattice parameters (Å, degrees): 4.071 4.071 10.518 78.84 78.84 90.00
Positions (direct):
1 Ba 0.391 0.391 0.218
2 Ba 0.609 0.609 0.782
3 Ag 0.750 0.250 0.500
4 Ag 0.250 0.750 0.500
5 Cd 0.000 0.000 0.000

Computed properties:
The value obtained for the energy relative to the lowest polymorph listed for this composition is 0.147 eV per atom. Its calculated formation energy is -139 meV/atom.

---

Record 2
Material: Ba6CdAg5
Method: DFT, PBE
State: relaxed

Lattice parameters (Å, degrees): 5.857 8.296 9.262 90.00 108.42 90.00
Positions (direct):
1 Ba 0.832 0.750 0.663
2 Ba 0.832 0.250 0.663
3 Ba 0.500 0.254 0.000
4 Ba 0.500 0.746 0.000
5 Ba 0.168 0.750 0.337
6 Ba 0.168 0.250 0.337
7 Ag 0.666 0.500 0.335
8 Ag 0.339 0.000 0.676
9 Ag 0.000 0.500 0.000
10 Ag 0.661 0.000 0.324
11 Ag 0.334 0.500 0.665
12 Cd 0.000 0.000 0.000

Computed properties:
Its calculated formation energy is -241 meV/atom.

---

Record 3
Material: BaCd3Ag2
Method: DFT, PBE
State: relaxed

Lattice parameters (Å, degrees): 4.648 9.267 8.714 116.03 90.00 104.52
Positions (direct):
1 Ba 0.853 0.707 0.929
2 Ba 0.147 0.293 0.071
3 Cd 0.316 0.631 0.549
4 Cd 0.966 0.932 0.629
5 Cd 0.600 0.201 0.690
6 Cd 0.400 0.799 0.310
7 Cd 0.034 0.068 0.371
8 Cd 0.684 0.369 0.451
9 Ag 0.483 0.965 0.829
10 Ag 0.517 0.035 0.171
11 Ag 0.806 0.613 0.322
12 Ag 0.194 0.387 0.678

Computed properties:
The value obtained for the energy relative to the lowest polymorph listed for this composition is 0.041 eV per atom. Its calculated formation energy is -189 meV/atom.

---

Record 4
Material: Ba2Cd3Ag6
Method: DFT, PBE
State: relaxed

Lattice parameters (Å, degrees): 4.736 8.293 8.293 112.51 90.00 90.00
Positions (direct):
1 Ba 0.000 0.321 0.679
2 Ba 0.000 0.679 0.321
3 Cd 0.000 0.182 0.182
4 Cd 0.000 0.818 0.818
5 Cd 0.500 0.000 0.000
6 Ag 0.500 0.353 0.353
7 Ag 0.500 0.647 0.647
8 Ag 0.500 0.002 0.337
9 Ag 0.500 0.998 0.663
10 Ag 0.500 0.337 0.002
11 Ag 0.500 0.663 0.998

Computed properties:
The value obtained for the energy relative to the lowest polymorph listed for this composition is 0.004 eV per atom. Its calculated formation energy is -130 meV/atom.

---

- What is the calculated formation energy in the third record?
  -189 meV/atom

---

- The highest calculated formation energy belongs to which entry?
  Ba2Cd3Ag6

---

- The lowest calculated formation energy belongs to which entry?
  Ba6CdAg5